{"formula": "SrIn2Os", "functional": "GGA-PBE", "state": "optimized geometry", "crystal_system": "tetragonal", "formation_enthalpy_0k_ev_per_fu": 1.996, "spacegroup": "I-4m2 (119)", "lattice": [[-2.3471, -2.1851, -4.4460], [-0.3217, -5.4160, 0.7834], [-1.5801, 4.1699, 3.1883]], "species": ["In", "In", "Os", "Sr"], "frac_coords": [[0.0000, 0.0000, 0.0000], [0.2500, 0.7500, 0.5000], [0.5000, 0.5000, 0.0000], [0.7500, 0.2500, 0.5000]]}

{"formula": "VCoAg2", "functional": "GGA-PBE", "state": "optimized geometry", "de_polymorph_ev_per_atom": 0.000, "crystal_system": "cubic", "formation_enthalpy_0k_ev_per_fu": 2.237, "spacegroup": "Fm-3m (225)", "lattice": [[0.0000, 3.1421, 3.1421], [3.1421, 0.0000, 3.1421], [3.1421, 3.1421, 0.0000]], "species": ["Ag", "Ag", "V", "Co"], "frac_coords": [[0.7500, 0.7500, 0.7500], [0.2500, 0.2500, 0.2500], [0.0000, 0.0000, 0.0000], [0.5000, 0.5000, 0.5000]]}

{"formula": "In2Re", "functional": "GGA-PBE", "state": "optimized geometry", "crystal_system": "tetragonal", "formation_enthalpy_0k_ev_per_fu": 0.987, "spacegroup": "I4/mcm (140)", "lattice": [[-3.4061, 3.4061, 2.7254], [3.4061, -3.4061, 2.7254], [3.4061, 3.4061, -2.7254]], "species": ["Re", "Re", "In", "In", "In", "In"], "frac_coords": [[0.2500, 0.2500, 0.0000], [0.7500, 0.7500, 0.0000], [0.3240, 0.1760, 0.5000], [0.6760, 0.8240, 0.5000], [0.8240, 0.3240, 0.1479], [0.1760, 0.6760, 0.8521]]}

{"formula": "CeEr2Be", "functional": "GGA-PBE", "state": "optimized geometry", "de_polymorph_ev_per_atom": 0.592, "crystal_system": "trigonal", "formation_enthalpy_0k_ev_per_fu": 2.748, "spacegroup": "R-3m (166)", "lattice": [[-3.2319, 0.8365, 0.4231], [-2.0963, 0.0007, -2.6323], [-4.2756, -10.3841, 1.2513]], "species": ["Be", "Er", "Er", "Ce"], "frac_coords": [[0.0000, 0.0000, 0.0000], [0.0846, 0.0846, 0.7461], [0.9154, 0.9154, 0.2539], [0.5000, 0.5000, 0.5000]]}

{"formula": "CuSiTc2", "functional": "GGA-PBE", "state": "optimized geometry", "crystal_system": "orthorhombic", "raw_formation_energy_ev_per_atom": 0.1222, "spacegroup": "Pmmm (47)", "lattice": [[-0.9216, -2.8513, 0.0989], [4.1273, -1.3152, 0.5417], [-0.4493, 0.2883, 4.1233]], "species": ["Si", "Tc", "Tc", "Cu"], "frac_coords": [[0.0000, 0.5000, 0.5000], [0.0000, 0.0000, 0.0000], [0.5000, 0.5000, 0.0000], [0.5000, 0.0000, 0.5000]]}

{"formula": "Mo2HAu", "functional": "GGA-PBE", "state": "optimized geometry", "de_polymorph_ev_per_atom": 0.540, "crystal_system": "cubic", "spacegroup": "Fm-3m (225)", "lattice": [[-2.1351, 1.9333, 3.2508], [-1.7875, 3.9127, -0.5996], [-4.3202, 0.4094, -0.1795]], "species": ["Au", "Mo", "Mo", "H"], "frac_coords": [[0.5000, 0.5000, 0.5000], [0.7500, 0.7500, 0.7500], [0.2500, 0.2500, 0.2500], [0.0000, 0.0000, 0.0000]]}

Quick rundown of raw total energy, same order as above: -0.30121 -0.36179 -0.41498 -0.29468 -0.54687 -0.44742 Ry per atom